*A*
The following is a GGA-PBE calculation of a geometry-optimized SnSbAs2 structure, from Alexandria.

Unit cell a=4.2446 b=4.1088 c=7.0578 alpha=106.73 beta=104.18 gamma=61.28
Closest atoms and distances in Å follow each position.
Fractional coordinates of all 4 atoms:
As: 0.5850 0.9836 0.0073  3 Sn 2.74-2.93, 2 Sb 2.88-2.89
As: 0.1053 0.4738 0.5059  3 Sb 2.72-2.98, 2 Sn 2.88
Sb: 0.7603 0.2635 0.7354  5 As 2.72-2.98
Sn: 0.2539 0.7636 0.2299  5 As 2.74-2.93

Values from the calculation:
Its magnetic moment is 0.000 μB per formula unit. For the density of states at the Fermi level, the calculation gives 0.314 states/eV per atom.

*B*
The following is a GGA-PBE calculation of a geometry-optimized SnSbAs2 structure, from Alexandria.

Unit cell a=7.0834 b=7.0834 c=6.9297 alpha=59.26 beta=59.26 gamma=90.00
Closest atoms and distances in Å follow each position.
Fractional coordinates of all 8 atoms:
Sb: 0.0000 0.0000 0.0000  4 As 2.80
Sb: 0.7500 0.2500 0.5000  4 As 2.80
As: 0.1307 0.6250 0.2500  2 Sn 2.75, 2 Sb 2.80
Sn: 0.2500 0.7500 0.5000  4 As 2.75
As: 0.8750 0.8693 0.7500  2 Sn 2.75, 2 Sb 2.80
As: 0.3750 0.3807 0.7500  2 Sn 2.75, 2 Sb 2.80
As: 0.6193 0.1250 0.2500  2 Sn 2.75, 2 Sb 2.80
Sn: 0.5000 0.5000 0.0000  4 As 2.75

Values from the calculation:
Its magnetic moment is 0.000 μB per formula unit. For the density of states at the Fermi level, the calculation gives 0.546 states/eV per atom.

Name the least stable of them. *B*.

*A*
The following is a GGA-PBE calculation of a geometry-optimized Sn2Sb2As structure, from Alexandria.

Unit cell a=8.0797 b=8.0797 c=4.2205 alpha=90.00 beta=90.00 gamma=90.00
Closest atoms and distances in Å follow each position.
Fractional coordinates of all 10 atoms:
Sn: 0.8301 0.6699 0.0000  2 As 3.00, 6 Sb 3.06-3.26
As: 0.0000 0.0000 0.0000  4 Sn 3.00
Sb: 0.3638 0.1362 0.5000  6 Sn 3.06-3.26, 1 Sb 3.11
As: 0.5000 0.5000 0.0000  4 Sn 3.00
Sb: 0.6362 0.8638 0.5000  6 Sn 3.06-3.26, 1 Sb 3.11
Sn: 0.1699 0.3301 0.0000  2 As 3.00, 6 Sb 3.06-3.26
Sn: 0.6699 0.1699 0.0000  2 As 3.00, 6 Sb 3.06-3.26
Sb: 0.1362 0.6362 0.5000  6 Sn 3.06-3.26, 1 Sb 3.11
Sb: 0.8638 0.3638 0.5000  6 Sn 3.06-3.26, 1 Sb 3.11
Sn: 0.3301 0.8301 0.0000  2 As 3.00, 6 Sb 3.06-3.26

Values from the calculation:
Its magnetic moment is 0.000 μB per formula unit. For the density of states at the Fermi level, the calculation gives 0.676 states/eV per atom.

*B*
The following is a GGA-PBE calculation of a geometry-optimized Sn2Sb2As structure, from Alexandria.

Unit cell a=8.1137 b=8.1137 c=4.2533 alpha=90.00 beta=90.00 gamma=90.00
Closest atoms and distances in Å follow each position.
Fractional coordinates of all 10 atoms:
Sb: 0.6733 0.1733 0.0000  2 As 3.00, 6 Sn 3.02-3.32
As: 0.5000 0.5000 0.0000  4 Sb 3.00
Sb: 0.8267 0.6733 0.0000  2 As 3.00, 6 Sn 3.02-3.32
Sn: 0.8605 0.3605 0.5000  6 Sb 3.02-3.32, 1 Sn 3.20
As: 0.0000 0.0000 0.0000  4 Sb 3.00
Sn: 0.6395 0.8605 0.5000  6 Sb 3.02-3.32, 1 Sn 3.20
Sn: 0.1395 0.6395 0.5000  6 Sb 3.02-3.32, 1 Sn 3.20
Sb: 0.3267 0.8267 0.0000  2 As 3.00, 6 Sn 3.02-3.32
Sn: 0.3605 0.1395 0.5000  6 Sb 3.02-3.32, 1 Sn 3.20
Sb: 0.1733 0.3267 0.0000  2 As 3.00, 6 Sn 3.02-3.32

Values from the calculation:
Its magnetic moment is 0.000 μB per formula unit. For the density of states at the Fermi level, the calculation gives 0.517 states/eV per atom.

Name the least stable of them. *A*.

*A*
The following is a GGA-PBE calculation of a geometry-optimized SnSb2TeAs structure, from Alexandria.

Unit cell a=5.6334 b=5.6334 c=5.5618 alpha=90.00 beta=90.00 gamma=90.00
Closest atoms and distances in Å follow each position.
Fractional coordinates of all 5 atoms:
Sb: 0.0000 0.5000 0.0000  2 Sn 2.82
Sb: 0.5000 0.0000 0.0000  2 Sn 2.82
Sn: 0.0000 0.0000 0.0000  2 Te 2.78, 4 Sb 2.82
Te: 0.0000 0.0000 0.5000  2 Sn 2.78
As: 0.5000 0.5000 0.5000  8 Sb 3.96, 4 Te 3.98

Values from the calculation:
Its magnetic moment is 0.000 μB per formula unit. For the density of states at the Fermi level, the calculation gives 1.160 states/eV per atom.

*B*
The following is a GGA-PBE calculation of a geometry-optimized SnSb2TeAs structure, from Alexandria.

Unit cell a=5.3354 b=5.5732 c=5.3354 alpha=90.00 beta=90.00 gamma=90.00
Closest atoms and distances in Å follow each position.
Fractional coordinates of all 5 atoms:
Te: 0.0000 0.5000 0.0000  2 As 2.79
Sn: 0.5000 0.5000 0.5000  4 Te 3.77, 8 Sb 3.86
Sb: 0.0000 0.0000 0.5000  2 As 2.67
As: 0.0000 0.0000 0.0000  4 Sb 2.67, 2 Te 2.79
Sb: 0.5000 0.0000 0.0000  2 As 2.67

Values from the calculation:
Its magnetic moment is 0.000 μB per formula unit. For the density of states at the Fermi level, the calculation gives 0.995 states/eV per atom.

Name the least stable of them. *A*.

*A*
The following is a GGA-PBE calculation of a geometry-optimized SrSb3As structure, from Alexandria.

Unit cell a=5.4730 b=5.4730 c=5.4730 alpha=90.00 beta=90.00 gamma=90.00
Closest atoms and distances in Å follow each position.
Fractional coordinates of all 5 atoms:
Sb: 0.0000 0.5000 0.0000  2 As 2.74
Sb: 0.0000 0.0000 0.5000  2 As 2.74
Sr: 0.5000 0.5000 0.5000  12 Sb 3.87
As: 0.0000 0.0000 0.0000  6 Sb 2.74
Sb: 0.5000 0.0000 0.0000  2 As 2.74

Values from the calculation:
Its magnetic moment is 0.000 μB per formula unit. For the density of states at the Fermi level, the calculation gives 1.140 states/eV per atom.

*B*
The following is a GGA-PBE calculation of a geometry-optimized SrSb3As structure, from Alexandria.

Unit cell a=5.9402 b=5.9402 c=5.9402 alpha=90.00 beta=90.00 gamma=90.00
Closest atoms and distances in Å follow each position.
Fractional coordinates of all 5 atoms:
Sb: 0.0000 0.5000 0.0000  2 Sr 2.97
Sr: 0.0000 0.0000 0.0000  6 Sb 2.97
Sb: 0.0000 0.0000 0.5000  2 Sr 2.97
Sb: 0.5000 0.0000 0.0000  2 Sr 2.97
As: 0.5000 0.5000 0.5000  12 Sb 4.20

Values from the calculation:
Its magnetic moment is 0.001 μB per formula unit. For the density of states at the Fermi level, the calculation gives 1.446 states/eV per atom.

Name the least stable of them. *B*.

*A*
The following is a GGA-PBE calculation of a geometry-optimized TaSbAs structure, from Alexandria.

Unit cell a=5.5444 b=5.5444 c=5.5444 alpha=143.60 beta=143.60 gamma=52.43
Closest atoms and distances in Å follow each position.
Fractional coordinates of all 3 atoms:
As: 0.0292 0.0292 0.0000  4 Ta 2.72, 1 Sb 2.93
Sb: 0.3234 0.3234 0.0000  5 As 2.93-3.19, 5 Ta 3.01-3.22
Ta: 0.6474 0.6474 0.0000  4 As 2.72, 4 Sb 3.01

Values from the calculation:
Its magnetic moment is 0.000 μB per formula unit. For the density of states at the Fermi level, the calculation gives 0.408 states/eV per atom.

*B*
The following is a GGA-PBE calculation of a geometry-optimized TaSbAs structure, from Alexandria.

Unit cell a=6.8574 b=6.7551 c=6.8023 alpha=73.43 beta=65.59 gamma=87.38
Closest atoms and distances in Å follow each position.
Fractional coordinates of all 12 atoms:
Ta: 0.0573 0.5921 0.0748  3 As 2.59-2.85, 3 Sb 2.87-2.90, 1 Ta 2.87
As: 0.3189 0.6599 0.2536  3 Ta 2.66-2.98, 1 Sb 2.84
As: 0.8812 0.9079 0.2009  3 Ta 2.59-2.62, 1 Sb 2.73
Ta: 0.4621 0.4132 0.9263  2 As 2.60-2.69, 1 Ta 2.87, 2 Sb 2.90-2.91
Ta: 0.9922 0.9633 0.7731  3 As 2.55-2.62
Sb: 0.0910 0.1679 0.3045  1 As 2.73, 4 Ta 2.84-2.90
As: 0.6215 0.0954 0.7894  3 Ta 2.60-2.62, 1 Sb 2.73
Sb: 0.1808 0.3569 0.7165  2 As 2.79-3.01, 3 Ta 2.87-3.09
As: 0.8462 0.6174 0.7854  3 Ta 2.55-2.85, 1 Sb 2.79
Ta: 0.5023 0.0165 0.2221  3 As 2.60-2.68, 3 Sb 2.80-2.84
Sb: 0.6370 0.3787 0.2692  3 Ta 2.80-2.99, 2 As 2.84-2.96
Sb: 0.4170 0.8309 0.6842  1 As 2.73, 4 Ta 2.84-2.91

Values from the calculation:
Its magnetic moment is 0.000 μB per formula unit. For the density of states at the Fermi level, the calculation gives 0.560 states/eV per atom.

Name the least stable of them. *B*.

*A*
The following is a GGA-PBE calculation of a geometry-optimized TaSbAs structure, from Alexandria.

Unit cell a=4.6505 b=4.6505 c=4.6505 alpha=60.00 beta=60.00 gamma=60.00
Closest atoms and distances in Å follow each position.
Fractional coordinates of all 3 atoms:
Ta: 0.7500 0.7500 0.7500  4 Sb 2.85, 4 As 2.85
Sb: 0.5000 0.5000 0.5000  4 Ta 2.85
As: 0.0000 0.0000 0.0000  4 Ta 2.85

Values from the calculation:
Its magnetic moment is 0.001 μB per formula unit. For the density of states at the Fermi level, the calculation gives 0.680 states/eV per atom.

*B*
The following is a GGA-PBE calculation of a geometry-optimized TaSbAs structure, from Alexandria.

Unit cell a=3.4244 b=3.4244 c=6.3669 alpha=90.00 beta=90.00 gamma=120.00
Closest atoms and distances in Å follow each position.
Fractional coordinates of all 3 atoms:
As: 0.0000 0.0000 0.9524  3 Ta 2.59
Ta: 0.3333 0.6667 0.6902  3 As 2.59
Sb: 0.6667 0.3333 0.3574  3 Ta 2.90

Values from the calculation:
Its magnetic moment is 0.000 μB per formula unit. For the density of states at the Fermi level, the calculation gives 0.175 states/eV per atom.

*C*
The following is a GGA-PBE calculation of a geometry-optimized TaSbAs structure, from Alexandria.

Unit cell a=4.7020 b=4.7020 c=3.1217 alpha=90.00 beta=90.00 gamma=120.00
Closest atoms and distances in Å follow each position.
Fractional coordinates of all 3 atoms:
Ta: 0.3333 0.6667 0.8335  3 As 2.71
Sb: 0.6667 0.3333 0.3333  2 Sb 3.12, 6 Ta 3.13, 6 As 3.13
As: 0.0000 0.0000 0.8332  3 Ta 2.71

Values from the calculation:
Its magnetic moment is 0.000 μB per formula unit. For the density of states at the Fermi level, the calculation gives 0.282 states/eV per atom.

Name the least stable of them. *A*.